No. 1
# SmTh2Au | the Alexandria database | PBE | relaxed
data_SmTh2Au
_space_group_name_H-M_alt 'P 4/m m m'
_space_group_IT_number 123
_space_group_name_Hall '-P 4 2'
_cell_length_a 3.6785
_cell_length_b 3.6785
_cell_length_c 8.7864
_cell_angle_alpha 90.00
_cell_angle_beta 90.00
_cell_angle_gamma 90.00
loop_
_atom_site_label
_atom_site_fract_x
_atom_site_fract_y
_atom_site_fract_z
_atom_site_occupancy
Sm1 0.0000 0.0000 0.0000 1
Th1 0.5000 0.5000 0.2853 1
Au1 0.0000 0.0000 0.5000 1
# - Excess energy over the best structure of this formula in the dataset: 0.00 kcal/mol of atoms
# - Energy of formation from the pure elements: -5.28 kcal/mol of atoms

---

No. 2
# SmThZnAu | the Alexandria database | PBE | relaxed
data_SmThZnAu
_space_group_name_H-M_alt 'F -4 3 m'
_space_group_IT_number 216
_space_group_name_Hall 'F -4 2 3'
_cell_length_a 7.3697
_cell_length_b 7.3697
_cell_length_c 7.3697
_cell_angle_alpha 90.00
_cell_angle_beta 90.00
_cell_angle_gamma 90.00
loop_
_atom_site_label
_atom_site_fract_x
_atom_site_fract_y
_atom_site_fract_z
_atom_site_occupancy
Sm1 0.0000 0.0000 0.0000 1
Th1 0.0000 0.0000 0.5000 1
Zn1 0.2500 0.2500 0.2500 1
Au1 0.2500 0.2500 0.7500 1
# - Energy of formation from the pure elements: -9.54 kcal/mol of atoms

---

No. 3
# SmTiAu2 | the Alexandria database | PBE | relaxed
data_SmTiAu2
_space_group_name_H-M_alt 'P 4/m m m'
_space_group_IT_number 123
_space_group_name_Hall '-P 4 2'
_cell_length_a 3.3851
_cell_length_b 3.3851
_cell_length_c 7.2411
_cell_angle_alpha 90.00
_cell_angle_beta 90.00
_cell_angle_gamma 90.00
loop_
_atom_site_label
_atom_site_fract_x
_atom_site_fract_y
_atom_site_fract_z
_atom_site_occupancy
Sm1 0.0000 0.0000 0.0000 1
Ti1 0.0000 0.0000 0.5000 1
Au1 0.5000 0.5000 0.2933 1
# - Energy of formation from the pure elements: -11.73 kcal/mol of atoms

---

No. 4
# SmTlAu | the Alexandria database | PBE | relaxed
data_SmTlAu
_space_group_name_H-M_alt 'I 4 m m'
_space_group_IT_number 107
_space_group_name_Hall 'I 4 -2'
_cell_length_a 3.6468
_cell_length_b 3.6468
_cell_length_c 11.5055
_cell_angle_alpha 90.00
_cell_angle_beta 90.00
_cell_angle_gamma 90.00
loop_
_atom_site_label
_atom_site_fract_x
_atom_site_fract_y
_atom_site_fract_z
_atom_site_occupancy
Sm1 0.0000 0.0000 0.0000 1
Tl1 0.0000 0.0000 0.3036 1
Au1 0.0000 0.0000 0.6454 1
# - Energy of formation from the pure elements: -10.24 kcal/mol of atoms

---

No. 5
# SmTlAu | the Alexandria database | PBE | relaxed
data_SmTlAu
_space_group_name_H-M_alt 'P -6 m 2'
_space_group_IT_number 187
_space_group_name_Hall 'P -6 2'
_cell_length_a 4.9230
_cell_length_b 4.9230
_cell_length_c 3.5468
_cell_angle_alpha 90.00
_cell_angle_beta 90.00
_cell_angle_gamma 120.00
loop_
_atom_site_label
_atom_site_fract_x
_atom_site_fract_y
_atom_site_fract_z
_atom_site_occupancy
Sm1 0.0000 0.0000 0.0000 1
Tl1 0.3333 0.6667 0.5000 1
Au1 0.6667 0.3333 0.5000 1
# - Energy of formation from the pure elements: -12.00 kcal/mol of atoms

---

No. 6
# Sm4TlAu3 | the Alexandria database | PBE | relaxed
data_Sm4TlAu3
_space_group_name_H-M_alt 'P m m 2'
_space_group_IT_number 25
_cell_length_a 3.8473
_cell_length_b 4.8297
_cell_length_c 11.4632
_cell_angle_alpha 90.00
_cell_angle_beta 90.00
_cell_angle_gamma 90.00
loop_
_space_group_symop_operation_xyz
'x,y,z'
'-x,-y,z'
'-x,y,z'
'x,-y,z'
loop_
_atom_site_label
_atom_site_fract_x
_atom_site_fract_y
_atom_site_fract_z
_atom_site_occupancy
Sm1 0.0000 0.0000 0.0000 1
Sm2 0.0000 0.5000 0.2652 1
Sm3 0.5000 0.0000 0.4791 1
Sm4 0.5000 0.5000 0.7775 1
Tl1 0.0000 0.0000 0.7130 1
Au1 0.0000 0.5000 0.5366 1
Au2 0.5000 0.0000 0.2141 1
Au3 0.5000 0.5000 0.0462 1
# - Energy of formation from the pure elements: -15.63 kcal/mol of atoms

---

No. 7
# SmTlAu | the Alexandria database | PBE | relaxed
data_SmTlAu
_space_group_name_H-M_alt 'C 1 2/m 1'
_space_group_IT_number 12
_cell_length_a 9.4804
_cell_length_b 5.3292
_cell_length_c 6.3570
_cell_angle_alpha 90.00
_cell_angle_beta 106.17
_cell_angle_gamma 90.00
loop_
_space_group_symop_operation_xyz
'x,y,z'
'-x,-y,-z'
'-x,y,-z'
'x,-y,z'
'x+1/2,y+1/2,z'
'-x+1/2,-y+1/2,-z'
'-x+1/2,y+1/2,-z'
'x+1/2,-y+1/2,z'
loop_
_atom_site_label
_atom_site_fract_x
_atom_site_fract_y
_atom_site_fract_z
_atom_site_occupancy
Sm1 0.1986 0.0000 0.2115 1
Tl1 0.0412 0.5000 0.2694 1
Au1 0.1219 0.0000 0.7161 1
# - Energy of formation from the pure elements: -11.68 kcal/mol of atoms

---

No. 8
# Sm2TlAu4 | the Alexandria database | PBE | relaxed
data_Sm2TlAu4
_space_group_name_H-M_alt 'R -3 m'
_space_group_IT_number 166
_space_group_name_Hall '-R 3 2"'
_cell_length_a 5.1213
_cell_length_b 5.1213
_cell_length_c 21.9077
_cell_angle_alpha 90.00
_cell_angle_beta 90.00
_cell_angle_gamma 120.00
loop_
_atom_site_label
_atom_site_fract_x
_atom_site_fract_y
_atom_site_fract_z
_atom_site_occupancy
Sm1 0.0000 0.0000 0.2324 1
Tl1 0.0000 0.0000 0.5000 1
Au1 0.0000 0.0000 0.0840 1
Au2 0.0000 0.0000 0.3678 1
# - Energy of formation from the pure elements: -11.78 kcal/mol of atoms

---

No. 9
# Sm4Tl3Au | the Alexandria database | PBE | relaxed
data_Sm4Tl3Au
_space_group_name_H-M_alt 'P 4/m m m'
_space_group_IT_number 123
_space_group_name_Hall '-P 4 2'
_cell_length_a 3.6879
_cell_length_b 3.6879
_cell_length_c 16.3771
_cell_angle_alpha 90.00
_cell_angle_beta 90.00
_cell_angle_gamma 90.00
loop_
_atom_site_label
_atom_site_fract_x
_atom_site_fract_y
_atom_site_fract_z
_atom_site_occupancy
Sm1 0.0000 0.0000 0.1098 1
Sm2 0.0000 0.0000 0.3701 1
Tl1 0.5000 0.5000 0.2412 1
Tl2 0.5000 0.5000 0.5000 1
Au1 0.5000 0.5000 0.0000 1
# - Energy of formation from the pure elements: -11.10 kcal/mol of atoms

---

No. 10
# Sm11Tl9Au4 | the Alexandria database | PBE | relaxed
data_Sm11Tl9Au4
_space_group_name_H-M_alt 'C m m m'
_space_group_IT_number 65
_space_group_name_Hall '-C 2 2'
_cell_length_a 15.0929
_cell_length_b 22.7948
_cell_length_c 3.8384
_cell_angle_alpha 90.00
_cell_angle_beta 90.00
_cell_angle_gamma 90.00
loop_
_atom_site_label
_atom_site_fract_x
_atom_site_fract_y
_atom_site_fract_z
_atom_site_occupancy
Sm1 0.0000 0.0000 0.0000 1
Sm2 0.0000 0.1632 0.0000 1
Sm3 0.0000 0.3682 0.0000 1
Sm4 0.1990 0.5000 0.0000 1
Sm5 0.2427 0.1705 0.0000 1
Tl1 0.0000 0.5000 0.5000 1
Tl2 0.1085 0.2593 0.5000 1
Tl3 0.1376 0.0742 0.5000 1
Au1 0.1502 0.4007 0.5000 1
# - Energy of formation from the pure elements: -12.07 kcal/mol of atoms

---

No. 11
# Sm4TlAu3 | the Alexandria database | PBE | relaxed
data_Sm4TlAu3
_space_group_name_H-M_alt 'R -3 m'
_space_group_IT_number 166
_space_group_name_Hall '-R 3 2"'
_cell_length_a 5.2599
_cell_length_b 5.2599
_cell_length_c 25.8141
_cell_angle_alpha 90.00
_cell_angle_beta 90.00
_cell_angle_gamma 120.00
loop_
_atom_site_label
_atom_site_fract_x
_atom_site_fract_y
_atom_site_fract_z
_atom_site_occupancy
Sm1 0.0000 0.0000 0.1194 1
Sm2 0.0000 0.0000 0.3705 1
Tl1 0.0000 0.0000 0.5000 1
Au1 0.0000 0.0000 0.0000 1
Au2 0.0000 0.0000 0.2428 1
# - Energy of formation from the pure elements: -15.63 kcal/mol of atoms

---

No. 12
# SmTlAu | the Alexandria database | PBE | relaxed
data_SmTlAu
_space_group_name_H-M_alt 'C m c m'
_space_group_IT_number 63
_space_group_name_Hall '-C 2c 2'
_cell_length_a 5.1881
_cell_length_b 8.9743
_cell_length_c 6.4548
_cell_angle_alpha 90.00
_cell_angle_beta 90.00
_cell_angle_gamma 90.00
loop_
_atom_site_label
_atom_site_fract_x
_atom_site_fract_y
_atom_site_fract_z
_atom_site_occupancy
Sm1 0.0000 0.1664 0.2500 1
Tl1 0.0000 0.5000 0.0000 1
Au1 0.0000 0.1671 0.7500 1
# - Energy of formation from the pure elements: -14.12 kcal/mol of atoms

---

No. 13
# Sm3TlAu2 | the Alexandria database | PBE | relaxed
data_Sm3TlAu2
_space_group_name_H-M_alt 'P 4/m m m'
_space_group_IT_number 123
_space_group_name_Hall '-P 4 2'
_cell_length_a 3.6720
_cell_length_b 3.6720
_cell_length_c 11.6484
_cell_angle_alpha 90.00
_cell_angle_beta 90.00
_cell_angle_gamma 90.00
loop_
_atom_site_label
_atom_site_fract_x
_atom_site_fract_y
_atom_site_fract_z
_atom_site_occupancy
Sm1 0.0000 0.0000 0.0000 1
Sm2 0.0000 0.0000 0.3152 1
Tl1 0.5000 0.5000 0.5000 1
Au1 0.5000 0.5000 0.1609 1
# - Energy of formation from the pure elements: -15.08 kcal/mol of atoms